The following is a PBE calculation of crystalline K2TiSbO6 at its relaxed geometry, from Alexandria via LeMat-Bulk.

a b c (Å): 5.654 5.654 5.654
angles (deg): 60.00 60.00 60.00
Positions (direct):
K1 0.250 0.250 0.250
K2 0.750 0.750 0.750
Ti1 0.000 0.000 0.000
Sb1 0.500 0.500 0.500
O1 0.248 0.248 0.752
O2 0.248 0.752 0.248
O3 0.248 0.752 0.752
O4 0.752 0.248 0.248
O5 0.752 0.248 0.752
O6 0.752 0.752 0.248

DOS at the Fermi energy = 0.57 states/eV/atom
SG = Fm-3m, No. 225
Raw formation energy = -1889.5 meV/atom

***

The following is a PBE calculation of crystalline KTiSbO6 at its relaxed geometry, from Alexandria via LeMat-Bulk.

a b c (Å): 5.542 5.542 10.973
angles (deg): 90.00 90.00 120.00
Positions (direct):
K1 0.000 0.000 0.000
K2 0.000 0.000 0.500
Ti1 0.333 0.667 0.250
Ti2 0.667 0.333 0.750
Sb1 0.333 0.667 0.750
Sb2 0.667 0.333 0.250
O1 0.004 0.413 0.153
O2 0.004 0.591 0.347
O3 0.409 0.413 0.347
O4 0.409 0.996 0.153
O5 0.413 0.004 0.653
O6 0.413 0.409 0.847
O7 0.587 0.591 0.153
O8 0.587 0.996 0.347
O9 0.591 0.004 0.847
O10 0.591 0.587 0.653
O11 0.996 0.409 0.653
O12 0.996 0.587 0.847

DOS at the Fermi energy = 0.44 states/eV/atom
SG = P-31c, No. 163
Raw formation energy = -1622.7 meV/atom

***

The following is a PBE calculation of crystalline K2Tl2SbO6 at its relaxed geometry, from Alexandria via LeMat-Bulk.

a b c (Å): 5.881 5.881 6.698
angles (deg): 99.33 99.33 118.16
Positions (direct):
K1 0.175 0.825 0.000
K2 0.825 0.175 0.000
Tl1 0.336 0.664 0.500
Tl2 0.664 0.336 0.500
Sb1 0.000 0.000 0.500
O1 0.056 0.352 0.680
O2 0.218 0.218 0.319
O3 0.352 0.056 0.680
O4 0.648 0.944 0.320
O5 0.782 0.782 0.681
O6 0.944 0.648 0.320

DOS at the Fermi energy = 0.24 states/eV/atom
SG = C2/m, No. 12
Raw formation energy = -1186.3 meV/atom

***

The following is a PBE calculation of crystalline K2TlSbO6 at its relaxed geometry, from Alexandria via LeMat-Bulk.

a b c (Å): 6.026 6.026 6.026
angles (deg): 60.03 60.03 60.03
Positions (direct):
K1 0.250 0.250 0.250
K2 0.750 0.750 0.750
Tl1 0.000 0.000 0.000
Sb1 0.500 0.500 0.500
O1 0.257 0.734 0.275
O2 0.266 0.725 0.743
O3 0.275 0.257 0.734
O4 0.725 0.743 0.266
O5 0.734 0.275 0.257
O6 0.743 0.266 0.725

DOS at the Fermi energy = 0.54 states/eV/atom
SG = R-3, No. 148
Raw formation energy = -999.8 meV/atom

***

The following is a PBE calculation of crystalline K2TlSbO4 at its relaxed geometry, from Alexandria via LeMat-Bulk.

a b c (Å): 6.121 6.121 6.121
angles (deg): 112.76 112.76 103.07
Positions (direct):
K1 0.000 0.000 0.000
K2 0.750 0.250 0.500
Tl1 0.250 0.750 0.500
Sb1 0.500 0.500 0.000
O1 0.190 0.517 0.998
O2 0.483 0.480 0.673
O3 0.520 0.192 0.002
O4 0.808 0.810 0.327

DOS at the Fermi energy = 0.00 states/eV/atom
SG = I-4, No. 82
Raw formation energy = -1348.3 meV/atom

***

The following is a PBE calculation of crystalline KTl2SbO4 at its relaxed geometry, from Alexandria via LeMat-Bulk.

a b c (Å): 6.160 6.212 6.401
angles (deg): 62.36 65.83 62.64
Positions (direct):
K1 0.000 0.000 0.000
Tl1 0.320 0.226 0.241
Tl2 0.467 0.488 0.562
Sb1 0.708 0.767 0.764
O1 0.034 0.684 0.797
O2 0.465 0.018 0.917
O3 0.616 0.463 0.900
O4 0.692 0.903 0.433

DOS at the Fermi energy = 0.00 states/eV/atom
SG = P1, No. 1
Raw formation energy = -1183.9 meV/atom

***

The following is a PBE calculation of crystalline K2TmSb2O6 at its relaxed geometry, from Alexandria via LeMat-Bulk.

a b c (Å): 5.860 5.860 7.246
angles (deg): 110.86 110.86 64.37
Positions (direct):
K1 0.198 0.198 0.141
K2 0.802 0.802 0.859
Tm1 0.000 0.000 0.500
Sb1 0.428 0.428 0.760
Sb2 0.572 0.572 0.240
O1 0.210 0.703 0.257
O2 0.235 0.235 0.533
O3 0.297 0.790 0.743
O4 0.703 0.210 0.257
O5 0.765 0.765 0.467
O6 0.790 0.297 0.743

DOS at the Fermi energy = 0.16 states/eV/atom
SG = C2/m, No. 12
Raw formation energy = -1869.3 meV/atom

***

The following is a PBE calculation of crystalline K2TmSbO4 at its relaxed geometry, from Alexandria via LeMat-Bulk.

a b c (Å): 7.139 7.139 7.139
angles (deg): 120.84 119.13 90.03
Positions (direct):
K1 0.000 0.000 0.000
K2 0.500 0.000 0.000
K3 0.500 0.000 0.500
K4 0.500 0.500 0.500
Tm1 0.000 0.000 0.500
Tm2 0.000 0.500 0.000
Sb1 0.000 0.500 0.500
Sb2 0.500 0.500 0.000
O1 0.189 0.735 0.455
O2 0.220 0.265 0.955
O3 0.226 0.255 0.529
O4 0.226 0.697 0.971
O5 0.774 0.303 0.029
O6 0.774 0.745 0.471
O7 0.780 0.735 0.045
O8 0.811 0.265 0.545

SG = Imma, No. 74
Raw formation energy = -1995.7 meV/atom

***

The following is a PBE calculation of crystalline K3TmSb2O6 at its relaxed geometry, from Alexandria via LeMat-Bulk.

a b c (Å): 6.086 6.086 7.178
angles (deg): 90.00 90.00 120.00
Positions (direct):
K1 0.000 0.000 0.000
K2 0.333 0.667 0.648
K3 0.667 0.333 0.352
Tm1 0.000 0.000 0.500
Sb1 0.333 0.667 0.183
Sb2 0.667 0.333 0.817
O1 0.170 0.341 0.314
O2 0.170 0.830 0.314
O3 0.341 0.170 0.686
O4 0.659 0.830 0.314
O5 0.830 0.170 0.686
O6 0.830 0.659 0.686

DOS at the Fermi energy = 0.00 states/eV/atom
SG = P-3m1, No. 164
Raw formation energy = -2017.2 meV/atom

***

The following is a PBE calculation of crystalline K2Tm2SbO6 at its relaxed geometry, from Alexandria via LeMat-Bulk.

a b c (Å): 5.848 5.848 6.650
angles (deg): 98.06 98.06 119.89
Positions (direct):
K1 0.165 0.835 0.000
K2 0.835 0.165 0.000
Tm1 0.335 0.665 0.500
Tm2 0.665 0.335 0.500
Sb1 0.000 0.000 0.500
O1 0.050 0.380 0.673
O2 0.262 0.262 0.327
O3 0.380 0.050 0.673
O4 0.620 0.950 0.327
O5 0.738 0.738 0.673
O6 0.950 0.620 0.327

DOS at the Fermi energy = 0.45 states/eV/atom
SG = C2/m, No. 12
Raw formation energy = -2391.2 meV/atom

***

The following is a PBE calculation of crystalline K3TmSb2O9 at its relaxed geometry, from Alexandria via LeMat-Bulk.

a b c (Å): 5.859 5.859 7.226
angles (deg): 90.00 90.00 120.00
Positions (direct):
K1 0.000 0.000 0.000
K2 0.333 0.667 0.664
K3 0.667 0.333 0.336
Tm1 0.000 0.000 0.500
Sb1 0.333 0.667 0.161
Sb2 0.667 0.333 0.839
O1 0.000 0.500 0.000
O2 0.174 0.348 0.318
O3 0.174 0.826 0.318
O4 0.348 0.174 0.682
O5 0.500 0.000 0.000
O6 0.500 0.500 0.000
O7 0.652 0.826 0.318
O8 0.826 0.174 0.682
O9 0.826 0.652 0.682

DOS at the Fermi energy = 0.64 states/eV/atom
SG = P-3m1, No. 164
Raw formation energy = -1738.7 meV/atom

***

The following is a PBE calculation of crystalline KUSbO5 at its relaxed geometry, from Alexandria via LeMat-Bulk.

a b c (Å): 6.447 6.447 8.410
angles (deg): 106.49 106.49 102.31
Positions (direct):
K1 0.074 0.926 0.750
K2 0.926 0.074 0.250
U1 0.000 0.500 0.000
U2 0.500 0.000 0.500
Sb1 0.451 0.549 0.750
Sb2 0.549 0.451 0.250
O1 0.157 0.280 0.050
O2 0.233 0.604 0.870
O3 0.239 0.761 0.250
O4 0.280 0.157 0.550
O5 0.396 0.767 0.630
O6 0.604 0.233 0.370
O7 0.720 0.843 0.450
O8 0.761 0.239 0.750
O9 0.767 0.396 0.130
O10 0.843 0.720 0.950

SG = C2/c, No. 15
Raw formation energy = -2289.0 meV/atom